Computed, not measured: an optimized crystal structure of AgSbTe2Pb at the PBE level of DFT.

Cell: 5.5514 5.5514 5.2649 Å, 90.00 90.00 90.00°
Fractional positions:
Te1 0.5000 0.0000 0.0000
Te2 0.0000 0.5000 0.0000
Sb1 0.0000 0.0000 0.5000
Pb1 0.5000 0.5000 0.5000
Ag1 0.0000 0.0000 0.0000

formation energy (no corrections) = 1.8 eV/f.u.
raw total energy = -3.033 eV/atom
calculated volume = 162 Å³ per cell
DOS at the Fermi energy = 4.7 states/eV/f.u.